(1)
# YMnOs3 (PBE, optimized geometry)
data_YMnOs3
_chemical_formula_sum 'Y1 Mn1 Os3'
_symmetry_space_group_name_H-M 'P 1'
_symmetry_Int_Tables_number 1
_symmetry_space_group_name_Hall 'P 1'
_cell_length_a 4.503
_cell_length_b 4.503
_cell_length_c 4.503
_cell_angle_alpha 90.00
_cell_angle_beta 90.00
_cell_angle_gamma 90.00
loop_
_atom_site_label
_atom_site_type_symbol
_atom_site_fract_x
_atom_site_fract_y
_atom_site_fract_z
Y1 Y 0.000 0.000 0.000
Mn1 Mn 0.500 0.500 0.500
Os1 Os 0.000 0.500 0.500
Os2 Os 0.500 0.000 0.500
Os3 Os 0.500 0.500 0.000
# DOS(E_F)   0.90 states/eV per atom
# Crystal system   cubic
# Spin magnetization   0.0 μB/f.u.
# E_form   841.2 meV per atom

---

(2)
# Y2Mn2Os (PBE, optimized geometry)
data_Y2Mn2Os
_chemical_formula_sum 'Y2 Mn2 Os1'
_symmetry_space_group_name_H-M 'P 1'
_symmetry_Int_Tables_number 1
_symmetry_space_group_name_Hall 'P 1'
_cell_length_a 9.071
_cell_length_b 9.071
_cell_length_c 9.071
_cell_angle_alpha 159.27
_cell_angle_beta 159.27
_cell_angle_gamma 29.48
loop_
_atom_site_label
_atom_site_type_symbol
_atom_site_fract_x
_atom_site_fract_y
_atom_site_fract_z
Y1 Y 0.101 0.101 0.000
Y2 Y 0.899 0.899 0.000
Mn1 Mn 0.250 0.750 0.500
Mn2 Mn 0.750 0.250 0.500
Os1 Os 0.500 0.500 0.000
# DOS(E_F)   1.26 states/eV per atom
# Crystal system   tetragonal
# Spin magnetization   0.0 μB/f.u.
# E_form   277.1 meV per atom

---

(3)
# Y2MnOs (PBE, optimized geometry)
data_Y2MnOs
_chemical_formula_sum 'Y2 Mn1 Os1'
_symmetry_space_group_name_H-M 'P 1'
_symmetry_Int_Tables_number 1
_symmetry_space_group_name_Hall 'P 1'
_cell_length_a 9.232
_cell_length_b 9.232
_cell_length_c 9.232
_cell_angle_alpha 21.16
_cell_angle_beta 21.16
_cell_angle_gamma 21.16
loop_
_atom_site_label
_atom_site_type_symbol
_atom_site_fract_x
_atom_site_fract_y
_atom_site_fract_z
Y1 Y 0.243 0.243 0.243
Y2 Y 0.757 0.757 0.757
Mn1 Mn 0.000 0.000 0.000
Os1 Os 0.500 0.500 0.500
# DOS(E_F)   1.28 states/eV per atom
# Crystal system   trigonal
# Spin magnetization   3.5 μB/f.u.
# E_form   417.5 meV per atom

---

(4)
# Y2MnOs (PBE, optimized geometry)
data_Y2MnOs
_chemical_formula_sum 'Y2 Mn1 Os1'
_symmetry_space_group_name_H-M 'P 1'
_symmetry_Int_Tables_number 1
_symmetry_space_group_name_Hall 'P 1'
_cell_length_a 3.462
_cell_length_b 3.462
_cell_length_c 7.130
_cell_angle_alpha 90.00
_cell_angle_beta 90.00
_cell_angle_gamma 90.00
loop_
_atom_site_label
_atom_site_type_symbol
_atom_site_fract_x
_atom_site_fract_y
_atom_site_fract_z
Y1 Y 0.000 0.000 0.233
Y2 Y 0.000 0.000 0.767
Mn1 Mn 0.500 0.500 0.500
Os1 Os 0.500 0.500 0.000
# DOS(E_F)   0.66 states/eV per atom
# Crystal system   tetragonal
# Spin magnetization   3.4 μB/f.u.
# E_form   39.1 meV per atom

---

(5)
# Y2MnOs (PBE, optimized geometry)
data_Y2MnOs
_chemical_formula_sum 'Y2 Mn1 Os1'
_symmetry_space_group_name_H-M 'P 1'
_symmetry_Int_Tables_number 1
_symmetry_space_group_name_Hall 'P 1'
_cell_length_a 6.037
_cell_length_b 6.037
_cell_length_c 6.037
_cell_angle_alpha 147.60
_cell_angle_beta 132.92
_cell_angle_gamma 58.31
loop_
_atom_site_label
_atom_site_type_symbol
_atom_site_fract_x
_atom_site_fract_y
_atom_site_fract_z
Y1 Y 0.000 0.000 0.000
Y2 Y 0.712 0.212 0.500
Mn1 Mn 0.420 0.420 0.000
Os1 Os 0.247 0.747 0.500
# DOS(E_F)   0.79 states/eV per atom
# Crystal system   orthorhombic
# Spin magnetization   2.8 μB/f.u.
# E_form   17.3 meV per atom

---

(6)
# Y2MnOs (PBE, optimized geometry)
data_Y2MnOs
_chemical_formula_sum 'Y4 Mn2 Os2'
_symmetry_space_group_name_H-M 'P 1'
_symmetry_Int_Tables_number 1
_symmetry_space_group_name_Hall 'P 1'
_cell_length_a 6.279
_cell_length_b 6.279
_cell_length_c 6.279
_cell_angle_alpha 103.41
_cell_angle_beta 103.41
_cell_angle_gamma 122.42
loop_
_atom_site_label
_atom_site_type_symbol
_atom_site_fract_x
_atom_site_fract_y
_atom_site_fract_z
Y1 Y 0.096 0.125 0.471
Y2 Y 0.375 0.904 0.029
Y3 Y 0.654 0.625 0.529
Y4 Y 0.875 0.346 0.971
Mn1 Mn 0.250 0.750 0.500
Mn2 Mn 0.500 0.500 0.000
Os1 Os 0.000 0.000 0.000
Os2 Os 0.750 0.250 0.500
# DOS(E_F)   1.43 states/eV per atom
# Crystal system   tetragonal
# Spin magnetization   3.6 μB/f.u.
# E_form   507.9 meV per atom

---

(7)
# Y2MnOs (PBE, optimized geometry)
data_Y2MnOs
_chemical_formula_sum 'Y2 Mn1 Os1'
_symmetry_space_group_name_H-M 'P 1'
_symmetry_Int_Tables_number 1
_symmetry_space_group_name_Hall 'P 1'
_cell_length_a 4.813
_cell_length_b 4.813
_cell_length_c 4.813
_cell_angle_alpha 60.00
_cell_angle_beta 60.00
_cell_angle_gamma 60.00
loop_
_atom_site_label
_atom_site_type_symbol
_atom_site_fract_x
_atom_site_fract_y
_atom_site_fract_z
Y1 Y 0.250 0.250 0.250
Y2 Y 0.750 0.750 0.750
Mn1 Mn 0.000 0.000 0.000
Os1 Os 0.500 0.500 0.500
# DOS(E_F)   2.20 states/eV per atom
# Crystal system   cubic
# Spin magnetization   0.0 μB/f.u.
# E_form   288.2 meV per atom

---

(8)
# Y2MnOs (PBE, optimized geometry)
data_Y2MnOs
_chemical_formula_sum 'Y2 Mn1 Os1'
_symmetry_space_group_name_H-M 'P 1'
_symmetry_Int_Tables_number 1
_symmetry_space_group_name_Hall 'P 1'
_cell_length_a 5.627
_cell_length_b 5.627
_cell_length_c 5.627
_cell_angle_alpha 136.49
_cell_angle_beta 136.49
_cell_angle_gamma 63.23
loop_
_atom_site_label
_atom_site_type_symbol
_atom_site_fract_x
_atom_site_fract_y
_atom_site_fract_z
Y1 Y 0.000 0.000 0.000
Y2 Y 0.750 0.250 0.500
Mn1 Mn 0.250 0.750 0.500
Os1 Os 0.500 0.500 0.000
# DOS(E_F)   0.95 states/eV per atom
# Crystal system   tetragonal
# Spin magnetization   3.6 μB/f.u.
# E_form   251.4 meV per atom

---

(9)
# Y2MnOs (PBE, optimized geometry)
data_Y2MnOs
_chemical_formula_sum 'Y2 Mn1 Os1'
_symmetry_space_group_name_H-M 'P 1'
_symmetry_Int_Tables_number 1
_symmetry_space_group_name_Hall 'P 1'
_cell_length_a 3.259
_cell_length_b 3.259
_cell_length_c 8.283
_cell_angle_alpha 90.00
_cell_angle_beta 90.00
_cell_angle_gamma 90.00
loop_
_atom_site_label
_atom_site_type_symbol
_atom_site_fract_x
_atom_site_fract_y
_atom_site_fract_z
Y1 Y 0.000 0.000 0.000
Y2 Y 0.500 0.500 0.380
Mn1 Mn 0.000 0.000 0.628
Os1 Os 0.500 0.500 0.768
# DOS(E_F)   1.02 states/eV per atom
# Crystal system   tetragonal
# Spin magnetization   2.9 μB/f.u.
# E_form   124.4 meV per atom

---

(10)
# Y2MnOs (PBE, optimized geometry)
data_Y2MnOs
_chemical_formula_sum 'Y2 Mn1 Os1'
_symmetry_space_group_name_H-M 'P 1'
_symmetry_Int_Tables_number 1
_symmetry_space_group_name_Hall 'P 1'
_cell_length_a 4.437
_cell_length_b 3.958
_cell_length_c 5.567
_cell_angle_alpha 90.00
_cell_angle_beta 113.39
_cell_angle_gamma 90.00
loop_
_atom_site_label
_atom_site_type_symbol
_atom_site_fract_x
_atom_site_fract_y
_atom_site_fract_z
Y1 Y 0.000 0.000 0.000
Y2 Y 0.289 0.500 0.579
Mn1 Mn 0.698 0.000 0.397
Os1 Os 0.590 0.500 0.181
# DOS(E_F)   0.91 states/eV per atom
# Crystal system   monoclinic
# Spin magnetization   0.0 μB/f.u.
# E_form   -36.7 meV per atom

---

(11)
# YMn3Os (PBE, optimized geometry)
data_YMn3Os
_chemical_formula_sum 'Y1 Mn3 Os1'
_symmetry_space_group_name_H-M 'P 1'
_symmetry_Int_Tables_number 1
_symmetry_space_group_name_Hall 'P 1'
_cell_length_a 4.672
_cell_length_b 4.672
_cell_length_c 4.672
_cell_angle_alpha 90.00
_cell_angle_beta 90.00
_cell_angle_gamma 90.00
loop_
_atom_site_label
_atom_site_type_symbol
_atom_site_fract_x
_atom_site_fract_y
_atom_site_fract_z
Y1 Y 0.000 0.000 0.000
Mn1 Mn 0.000 0.500 0.500
Mn2 Mn 0.500 0.000 0.500
Mn3 Mn 0.500 0.500 0.000
Os1 Os 0.500 0.500 0.500
# DOS(E_F)   1.57 states/eV per atom
# Crystal system   cubic
# Spin magnetization   8.7 μB/f.u.
# E_form   722.9 meV per atom

---

(12)
# Y2Mn2Os (PBE, optimized geometry)
data_Y2Mn2Os
_chemical_formula_sum 'Y4 Mn4 Os2'
_symmetry_space_group_name_H-M 'P 1'
_symmetry_Int_Tables_number 1
_symmetry_space_group_name_Hall 'P 1'
_cell_length_a 7.640
_cell_length_b 7.640
_cell_length_c 3.593
_cell_angle_alpha 90.00
_cell_angle_beta 90.00
_cell_angle_gamma 90.00
loop_
_atom_site_label
_atom_site_type_symbol
_atom_site_fract_x
_atom_site_fract_y
_atom_site_fract_z
Y1 Y 0.173 0.327 0.000
Y2 Y 0.327 0.827 0.000
Y3 Y 0.673 0.173 0.000
Y4 Y 0.827 0.673 0.000
Mn1 Mn 0.123 0.623 0.500
Mn2 Mn 0.377 0.123 0.500
Mn3 Mn 0.623 0.877 0.500
Mn4 Mn 0.877 0.377 0.500
Os1 Os 0.000 0.000 0.000
Os2 Os 0.500 0.500 0.000
# DOS(E_F)   0.96 states/eV per atom
# Crystal system   tetragonal
# Spin magnetization   6.9 μB/f.u.
# E_form   711.3 meV per atom